Computed, not measured: a relaxed structure of LiPmErTl at the GGA-PBE level of DFT.

Structure (POSCAR):
```
LiPmErTl
1.0
-1.685 5.041 -0.430
-5.086 1.210 1.054
-1.226 2.784 4.380
Er Pm Tl Li
1 1 1 1
Cartesian
-1.999 2.259 1.251
-5.998 6.777 3.753
-3.999 4.518 2.502
0.000 0.000 0.000
```

## Properties
DFT formation energy = -0.19 eV/atom
mass density = 8.1 Mg/m³
total energy = -3.589 eV per atom